A plane-wave DFT calculation with PBEsol was carried out for an optimized crystal structure of MnRhSe2.

Unit cell a=3.713 b=3.713 c=5.211 alpha=110.87 beta=110.87 gamma=90.00
Atoms (fractional coordinates):
Se (0.000, 0.000, 0.000)
Rh (0.250, 0.750, 0.500)
Mn (0.500, 0.500, 0.000)
Se (0.750, 0.250, 0.500)

Formation energy without anion corrections (eV per atom): 0.105
Total energy (hartree per atom): -0.2313
Size of the total moment (μB per formula unit): 3.510